Entry 1:
{
  "formula": "LaPm3Pr6Y2",
  "functional": "PBE-GGA",
  "state": "optimized geometry",
  "energy_ev_per_cell": -60.622,
  "dos_ef_per_ev_cell": 17.77,
  "lattice": [[6.382, 0.000, 0.018], [-3.189, 5.527, 0.018], [-1.098, -1.901, 11.971]],
  "species": ["Pm", "Pm", "Pm", "Pr", "Pr", "Pr", "Pr", "Pr", "Pr", "Y", "Y", "La"],
  "fractional_positions": [[0.500, 0.500, 0.500], [0.833, 0.167, 0.500], [0.167, 0.833, 0.500], [0.083, 0.417, 0.250], [0.583, 0.917, 0.750], [0.250, 0.250, 0.750], [0.750, 0.750, 0.250], [0.917, 0.583, 0.750], [0.417, 0.083, 0.250], [0.666, 0.334, 0.000], [0.334, 0.666, 0.000], [0.000, 0.000, 0.000]]
}

***

Entry 2:
{
  "formula": "Pa2NbSb",
  "functional": "PBE-GGA",
  "state": "optimized geometry",
  "e_form_raw_mev_per_atom": -123.2,
  "de_polymorph_mev_per_atom": 83,
  "dos_ef_per_ev_cell": 4.96,
  "lattice": [[3.935, 0.000, 0.000], [0.000, 3.935, 0.000], [0.000, 0.000, 6.195]],
  "species": ["Pa", "Pa", "Sb", "Nb"],
  "fractional_positions": [[0.000, 0.000, 0.742], [0.000, 0.000, 0.258], [0.500, 0.500, 0.500], [0.500, 0.500, 0.000]]
}

***

Entry 3:
{
  "formula": "K4U3FeN8",
  "functional": "PBE-GGA",
  "state": "optimized geometry",
  "e_form_raw_mev_per_atom": -712.5,
  "dos_ef_per_ev_cell": 4.57,
  "lattice": [[6.919, 0.000, 0.000], [0.000, 7.484, 0.375], [-3.460, -3.448, 4.909]],
  "species": ["K", "K", "K", "K", "N", "N", "N", "N", "N", "N", "N", "N", "U", "U", "U", "Fe"],
  "fractional_positions": [[0.000, 0.000, 0.000], [0.000, 0.000, 0.500], [0.500, 0.000, 0.000], [0.500, 0.000, 0.500], [0.232, 0.660, 0.463], [0.698, 0.660, 0.929], [0.769, 0.340, 0.071], [0.231, 0.660, 0.929], [0.302, 0.340, 0.071], [0.722, 0.665, 0.444], [0.768, 0.340, 0.537], [0.278, 0.335, 0.556], [0.500, 0.500, 0.000], [0.000, 0.500, 0.500], [0.500, 0.500, 0.500], [0.000, 0.500, 0.000]]
}